Entry 1:
# NbAlO4

A relaxed structure of NbAlO4 (PBEsol, Alexandria via LeMat-Bulk).

Calculated values
As for the electronic total energy: -8.72 eV per atom. The volume is 573.1 Å³ per cell.

Unit cell a=12.1345 b=3.7768 c=13.0522 alpha=90.00 beta=106.64 gamma=90.00
Last column: nearest neighbours and their distance in Å.
Space group C2/m (No. 12)
One atom of each set of equivalent atoms:
Nb (0.1082, 0.0000, 0.3653)  4 O 1.82-1.97
Nb (0.1987, 0.0000, 0.1352)  4 O 1.81-2.00
Al (0.0941, 0.0000, 0.8433)  5 O 1.83-1.94
Al (0.1945, 0.0000, 0.6547)  5 O 1.83-1.94
O (0.0569, 0.0000, 0.6882)  2 Al 1.84-1.94, 1 Nb 1.92
O (0.0623, 0.0000, 0.1831)  1 Al 1.83, 1 Nb 1.93
O (0.1295, 0.5000, 0.8472)  2 Al 1.93, 1 Nb 2.03
O (0.1331, 0.0000, 0.5096)  1 Nb 1.82, 1 Al 1.83
O (0.1378, 0.0000, 0.9915)  1 Nb 1.81, 1 Al 1.85
O (0.1499, 0.5000, 0.3529)  1 Al 1.92, 2 Nb 1.97
O (0.2304, 0.5000, 0.6719)  2 Al 1.94, 1 Nb 2.15
O (0.2439, 0.5000, 0.1789)  2 Nb 2.00, 2 Al 2.07-2.08


Entry 2:
# NbAlO2

A relaxed structure of NbAlO2 (PBEsol, Alexandria via LeMat-Bulk).

Calculated values
As for the electronic total energy: -8.25 eV per atom. The volume is 140.3 Å³ per cell.

Unit cell a=2.8713 b=2.8713 c=19.6503 alpha=90.00 beta=90.00 gamma=120.00
Last column: nearest neighbours and their distance in Å.
Space group R-3m (No. 166, hexagonal axes)
One atom of each set of equivalent atoms:
Nb (0.0000, 0.0000, 0.0000)  6 O 2.16
Al (0.0000, 0.0000, 0.5000)  2 O 1.89
O (0.0000, 0.0000, 0.4037)  1 Al 1.89


Entry 3:
# Nb3AlP6O24

A relaxed structure of Nb3AlP6O24 (PBEsol, Alexandria via LeMat-Bulk).

Calculated values
As for the electronic total energy: -8.24 eV per atom. The volume is 1433.5 Å³ per cell.

Unit cell a=8.6395 b=8.6395 c=22.1759 alpha=90.00 beta=90.00 gamma=120.00
Last column: nearest neighbours and their distance in Å.
Space group R3 (No. 146, hexagonal axes)
One atom of each set of equivalent atoms:
Nb (0.0000, 0.0000, 0.0000)  6 O 1.96-1.99
Nb (0.0000, 0.0000, 0.2167)  6 O 1.96-1.99
Nb (0.0000, 0.0000, 0.7183)  6 O 1.95-2.00
Al (0.0000, 0.0000, 0.5010)  6 O 1.87-1.90
P (0.0044, 0.7286, 0.6050)  4 O 1.50-1.55
P (0.0164, 0.2967, 0.1091)  4 O 1.49-1.56
O (0.0227, 0.2011, 0.7656)  1 P 1.56
O (0.0304, 0.8262, 0.2645)  1 P 1.55
O (0.0374, 0.8423, 0.5503)  1 P 1.50
O (0.0375, 0.2024, 0.0529)  1 P 1.55
O (0.1634, 0.4692, 0.8303)  1 P 1.55
O (0.1666, 0.6960, 0.3300)  1 P 1.54
O (0.1677, 0.7035, 0.6166)  1 P 1.55
O (0.1779, 0.4759, 0.1182)  1 P 1.49


Entry 4:
# Rb2NbAlOs

A relaxed structure of Rb2NbAlOs (PBEsol, Alexandria via LeMat-Bulk).

Calculated values
As for the electronic total energy: -3.30 eV per atom. The volume is 185.2 Å³ per cell. For the formation enthalpy at 0 K, the calculation gives 58.40 kcal/mol of atoms.

Unit cell a=6.0258 b=6.0258 c=5.1013 alpha=90.00 beta=90.00 gamma=90.00
Last column: nearest neighbours and their distance in Å.
Space group P4/mmm (No. 123)
One atom of each set of equivalent atoms:
Rb (0.0000, 0.5000, 0.0000)  2 Nb 3.01
Nb (0.0000, 0.0000, 0.0000)  2 Al 2.55
Al (0.0000, 0.0000, 0.5000)  2 Nb 2.55
Os (0.5000, 0.5000, 0.5000)  8 Rb 3.95, 4 Al 4.26


Entry 5:
# Sr2NbAlOs

A relaxed structure of Sr2NbAlOs (PBEsol, Alexandria via LeMat-Bulk).

Calculated values
As for the electronic total energy: -5.32 eV per atom. The volume is 158.8 Å³ per cell. For the formation enthalpy at 0 K, the calculation gives 19.48 kcal/mol of atoms.

Unit cell a=5.7965 b=5.7965 c=4.7275 alpha=90.00 beta=90.00 gamma=90.00
Last column: nearest neighbours and their distance in Å.
Space group P4/mmm (No. 123)
One atom of each set of equivalent atoms:
Sr (0.0000, 0.5000, 0.0000)  2 Os 2.90
Nb (0.0000, 0.0000, 0.5000)  2 Os 2.36
Al (0.5000, 0.5000, 0.5000)  8 Sr 3.74, 4 Nb 4.10
Os (0.0000, 0.0000, 0.0000)  2 Nb 2.36


Entry 6:
# Nb3AlPb

A relaxed structure of Nb3AlPb (PBEsol, Alexandria via LeMat-Bulk).

Calculated values
As for the electronic total energy: -7.08 eV per atom. The volume is 105.0 Å³ per cell. For the formation enthalpy at 0 K, the calculation gives 23.88 kcal/mol of atoms.

Unit cell a=4.7181 b=4.7181 c=4.7181 alpha=90.00 beta=90.00 gamma=90.00
Last column: nearest neighbours and their distance in Å.
Space group Pm-3m (No. 221)
One atom of each set of equivalent atoms:
Nb (0.0000, 0.0000, 0.5000)  2 Al 2.36
Al (0.0000, 0.0000, 0.0000)  6 Nb 2.36
Pb (0.5000, 0.5000, 0.5000)  12 Nb 3.34